P) VASP calculation (PBE) on crystalline AcY3Er at its relaxed geometry.

Computed properties:
Calculated volume = 360.89 Å³ per cell
Total magnetization = 0.00 μB/f.u.
D(E_F) = 8.47 states/eV/f.u.

a b c (Å): 4.9012 10.2493 8.6377
angles (deg): 59.92 89.99 103.81
Fractional positions:
Y 0.5787 0.1907 0.7971
Y 0.7491 0.5312 0.3856
Y 0.2949 0.6229 0.0359
Y 0.1072 0.2474 0.4858
Y 0.4653 0.9634 0.6244
Y 0.9368 0.9067 0.9358
Er 0.2116 0.4563 0.7219
Er 0.8324 0.6978 0.6996
Ac 0.4063 0.8462 0.2950
Ac 0.6377 0.3079 0.1266



Q) VASP calculation (PBE) on crystalline AcY3Er at its relaxed geometry.

Computed properties:
Calculated volume = 706.59 Å³ per cell
Total magnetization = 0.00 μB/f.u.
D(E_F) = 6.78 states/eV/f.u.

a b c (Å): 9.6705 9.1316 9.1316
angles (deg): 118.81 89.96 89.96
Fractional positions:
Er 0.0666 0.2066 0.4142
Er 0.5666 0.4142 0.2066
Er 0.9334 0.7934 0.5858
Er 0.4334 0.5858 0.7934
Y 0.2511 0.3912 0.9852
Y 0.4320 0.7796 0.2214
Y 0.2489 0.0148 0.6088
Y 0.7511 0.9852 0.3912
Y 0.7489 0.6088 0.0148
Y 0.9320 0.2214 0.7796
Y 0.0680 0.7786 0.2204
Y 0.4259 0.2156 0.4242
Y 0.9259 0.4242 0.2156
Y 0.5741 0.7844 0.5758
Y 0.0741 0.5758 0.7844
Y 0.5680 0.2204 0.7786
Ac 0.2500 0.5720 0.4280
Ac 0.2500 0.0027 0.9973
Ac 0.7500 0.4280 0.5720
Ac 0.7500 0.9973 0.0027



Relative energy of each structure, in meV/atom: P) 26; Q) 0.



P) VASP calculation (PBE) on crystalline AcY6Er2 at its relaxed geometry.

Computed properties:
Calculated volume = 302.62 Å³ per cell
Total magnetization = 0.00 μB/f.u.
D(E_F) = 14.90 states/eV/f.u.

a b c (Å): 3.7479 6.7021 12.9838
angles (deg): 75.85 81.70 73.76
Fractional positions:
Y 0.0322 0.6258 0.3098
Y 0.7000 0.4901 0.1099
Y 0.3552 0.7668 0.5229
Y 0.3000 0.5099 0.8901
Y 0.9678 0.3742 0.6902
Y 0.6448 0.2332 0.4771
Er 0.6764 0.9085 0.7388
Er 0.3236 0.0915 0.2612
Ac 0.0000 0.0000 0.0000



Q) VASP calculation (PBE) on crystalline AcY6Er2 at its relaxed geometry.

Computed properties:
Calculated volume = 614.63 Å³ per cell
Total magnetization = 0.00 μB/f.u.
D(E_F) = 13.25 states/eV/f.u.

a b c (Å): 8.9927 8.9927 9.2626
angles (deg): 76.43 76.43 58.42
Fractional positions:
Y 0.5526 0.6861 0.1889
Y 0.0885 0.6361 0.0062
Y 0.6789 0.1048 0.1179
Y 0.8952 0.3211 0.3821
Y 0.6861 0.5526 0.6889
Y 0.9115 0.3639 0.9938
Y 0.4474 0.3139 0.8111
Y 0.6361 0.0885 0.5062
Y 0.3211 0.8952 0.8821
Y 0.3639 0.9115 0.4938
Y 0.3139 0.4474 0.3111
Y 0.1048 0.6789 0.6179
Er 0.2919 0.1542 0.1476
Er 0.7081 0.8458 0.8524
Er 0.1542 0.2919 0.6476
Er 0.8458 0.7081 0.3524
Ac 0.0766 0.9234 0.2500
Ac 0.9234 0.0766 0.7500



Relative energy of each structure, in meV/atom: P) 0; Q) 147.



P) VASP calculation (PBE) on crystalline AcYEr2 at its relaxed geometry.

Computed properties:
Calculated volume = 136.95 Å³ per cell
Total magnetization = 0.00 μB/f.u.
D(E_F) = 5.49 states/eV/f.u.

a b c (Å): 3.6777 3.6777 11.8832
angles (deg): 81.10 81.10 60.00
Fractional positions:
Y 0.0000 0.0000 0.0000
Er 0.2529 0.2529 0.2414
Er 0.7471 0.7471 0.7586
Ac 0.5000 0.5000 0.5000



Q) VASP calculation (PBE) on crystalline AcYEr2 at its relaxed geometry.

Computed properties:
Calculated volume = 137.64 Å³ per cell
Total magnetization = 0.00 μB/f.u.
D(E_F) = 5.69 states/eV/f.u.

a b c (Å): 3.6783 3.6783 11.9356
angles (deg): 81.16 81.16 60.00
Fractional positions:
Y 0.6662 0.6662 0.0012
Er 0.0797 0.0797 0.7614
Er 0.2537 0.2537 0.2389
Ac 0.5004 0.5004 0.4985



Relative energy of each structure, in meV/atom: P) 0; Q) 9.